TbTaCu2As4: optimized geometry, PBE-GGA.

Total magnetization in μB/f.u.: 0.02
Calculated total energy in Ha/atom: -0.211
Volume in A^3/atom: 17.588

Cell lengths 3.8498, 3.8498, 9.4939 Å; angles 90.00, 90.00, 90.00 degrees
Fractional positions:
1 Ta 0.0000 0.0000 0.7799
2 As 0.0000 0.0000 0.3356
3 As 0.5000 0.5000 0.6810
4 As 0.0000 0.5000 0.9797
5 As 0.5000 0.0000 0.9797
6 Cu 0.5000 0.0000 0.5084
7 Cu 0.0000 0.5000 0.5084
8 Tb 0.5000 0.5000 0.2274